(1)
Tm3TeRu: relaxed, PBE-GGA.

Magnetization, μB per atom: 0.00
Formation energy without anion corrections, meV per atom: -661

Lattice parameters (Å, degrees): 3.962 7.119 9.879 98.64 90.00 106.16
Positions (direct):
1 Tm 0.034 0.067 0.359
2 Tm 0.966 0.933 0.641
3 Tm 0.365 0.730 0.132
4 Tm 0.635 0.270 0.868
5 Tm 0.245 0.489 0.644
6 Tm 0.755 0.511 0.356
7 Te 0.861 0.723 0.892
8 Te 0.139 0.277 0.108
9 Ru 0.605 0.210 0.573
10 Ru 0.395 0.790 0.427

(2)
Tm3TeRu: relaxed, PBE-GGA.

Magnetization, μB per atom: 0.00
Formation energy without anion corrections, meV per atom: -665

Lattice parameters (Å, degrees): 4.212 8.490 8.956 65.51 76.40 75.64
Positions (direct):
1 Tm 0.038 0.121 0.803
2 Tm 0.962 0.879 0.197
3 Tm 0.658 0.550 0.134
4 Tm 0.342 0.450 0.866
5 Tm 0.729 0.825 0.717
6 Tm 0.271 0.175 0.283
7 Te 0.386 0.754 0.475
8 Te 0.614 0.246 0.525
9 Ru 0.151 0.753 0.945
10 Ru 0.849 0.247 0.055

(3)
Tm5Te2Ru: relaxed, PBE-GGA.

Magnetization, μB per atom: 0.00
Formation energy without anion corrections, meV per atom: -747

Lattice parameters (Å, degrees): 4.176 7.990 12.750 90.00 90.00 90.00
Positions (direct):
1 Tm 0.000 0.000 0.500
2 Tm 0.000 0.500 0.000
3 Tm 0.000 0.840 0.183
4 Tm 0.000 0.160 0.817
5 Tm 0.000 0.660 0.683
6 Tm 0.000 0.340 0.317
7 Tm 0.500 0.670 0.421
8 Tm 0.500 0.330 0.579
9 Tm 0.500 0.830 0.921
10 Tm 0.500 0.170 0.079
11 Te 0.500 0.541 0.178
12 Te 0.500 0.459 0.822
13 Te 0.500 0.959 0.678
14 Te 0.500 0.041 0.322
15 Ru 0.000 0.500 0.500
16 Ru 0.000 0.000 0.000

What did we get for DOS at the Fermi energy? Answer: 0.804 0.628 0.678 states/eV per atom, in the order shown.
What did we get for total DFT energy (no corrections)? Answer: -58.27 -58.32 -87.79 eV for the cell shown, in the order shown.